{
  "formula": "PrPuSc",
  "functional": "GGA-PBE",
  "state": "relaxed",
  "cell": [[3.4616, 0.0000, 0.0000], [-1.7308, 2.9979, 0.0000], [0.0000, 0.0000, 8.4093]],
  "species": ["Pr", "Pu", "Sc"],
  "fractional_positions": [[0.0000, 0.0000, 0.0000], [0.6667, 0.3333, 0.3508], [0.3333, 0.6667, 0.6647]],
  "delta_e_f_ev_per_fu": 0.5,
  "total_energy_ry_per_atom": -0.611,
  "polymorph_energy_mev_per_atom": 27
}



{
  "formula": "Fe4C",
  "functional": "GGA-PBE",
  "state": "relaxed",
  "cell": [[-2.4134, 2.4134, 2.4134], [2.4134, -2.4134, 2.4134], [2.4134, 2.4134, -2.4134]],
  "species": ["Fe", "Fe", "Fe", "Fe", "C"],
  "fractional_positions": [[0.0000, 0.0000, 0.5000], [0.0000, 0.5000, 0.0000], [0.5000, 0.0000, 0.0000], [0.5000, 0.5000, 0.5000], [0.0000, 0.0000, 0.0000]],
  "delta_e_f_ev_per_fu": 2.4,
  "total_energy_ry_per_atom": -0.598,
  "polymorph_energy_mev_per_atom": 356
}



{
  "formula": "TcOsBr2",
  "functional": "GGA-PBE",
  "state": "relaxed",
  "cell": [[1.5285, 0.8825, 8.3411], [-1.5285, 0.8825, 8.3411], [0.0000, -1.7649, 8.3411]],
  "species": ["Tc", "Os", "Br", "Br"],
  "fractional_positions": [[0.0000, 0.0000, 0.0000], [0.5000, 0.5000, 0.5000], [0.2541, 0.2541, 0.2541], [0.7459, 0.7459, 0.7459]],
  "formation_energy_uncorrected_ev_per_fu": 4.7,
  "total_energy_ry_per_atom": -0.373,
  "polymorph_energy_mev_per_atom": 887
}



{
  "formula": "HfCrSe2",
  "functional": "GGA-PBE",
  "state": "relaxed",
  "cell": [[1.8368, 1.0605, 8.3563], [-1.8368, 1.0605, 8.3563], [0.0000, -2.1209, 8.3563]],
  "species": ["Hf", "Cr", "Se", "Se"],
  "fractional_positions": [[0.0000, 0.0000, 0.0000], [0.5000, 0.5000, 0.5000], [0.3989, 0.3989, 0.3989], [0.6011, 0.6011, 0.6011]],
  "formation_energy_uncorrected_ev_per_fu": -2.0,
  "total_energy_ry_per_atom": -0.524,
  "polymorph_energy_mev_per_atom": 0
}



{
  "formula": "LiHgBr2",
  "functional": "GGA-PBE",
  "state": "relaxed",
  "cell": [[1.9948, 1.1517, 8.4906], [-1.9948, 1.1517, 8.4906], [0.0000, -2.3034, 8.4906]],
  "species": ["Li", "Hg", "Br", "Br"],
  "fractional_positions": [[0.0000, 0.0000, 0.0000], [0.5000, 0.5000, 0.5000], [0.3901, 0.3901, 0.3901], [0.6099, 0.6099, 0.6099]],
  "formation_energy_uncorrected_ev_per_fu": -2.9,
  "total_energy_ry_per_atom": -0.156,
  "polymorph_energy_mev_per_atom": 67
}



{
  "formula": "La2Dy6Ho3",
  "functional": "GGA-PBE",
  "state": "relaxed",
  "cell": [[3.0771, -5.2606, 0.0000], [3.0771, 5.2606, 0.0000], [-1.8136, 0.0000, 11.6286]],
  "species": ["La", "La", "Dy", "Dy", "Dy", "Dy", "Dy", "Dy", "Ho", "Ho", "Ho"],
  "fractional_positions": [[0.1742, 0.8258, 0.0000], [0.8258, 0.1742, 0.0000], [0.0741, 0.4080, 0.7429], [0.2590, 0.2590, 0.2539], [0.4080, 0.0741, 0.7429], [0.5920, 0.9259, 0.2571], [0.7410, 0.7410, 0.7461], [0.9259, 0.5920, 0.2571], [0.0000, 0.0000, 0.5000], [0.3350, 0.6650, 0.5000], [0.6650, 0.3350, 0.5000]],
  "delta_e_f_ev_per_fu": 2.0,
  "total_energy_ry_per_atom": -0.329,
  "polymorph_energy_mev_per_atom": 0
}



{
  "formula": "LiSiW2Se",
  "functional": "GGA-PBE",
  "state": "relaxed",
  "cell": [[4.4829, 0.0000, 0.0000], [0.0000, 4.4829, 0.0000], [0.0000, 0.0000, 3.7280]],
  "species": ["Li", "Si", "W", "W", "Se"],
  "fractional_positions": [[0.0000, 0.0000, 0.0000], [0.0000, 0.0000, 0.5000], [0.0000, 0.5000, 0.0000], [0.5000, 0.0000, 0.0000], [0.5000, 0.5000, 0.5000]],
  "formation_energy_uncorrected_ev_per_fu": 6.7,
  "total_energy_ry_per_atom": -0.442
}



{
  "formula": "ZrAgPdF2",
  "functional": "GGA-PBE",
  "state": "relaxed",
  "cell": [[4.2315, 0.0000, 0.0000], [0.0000, 4.2315, 0.0000], [0.0000, 0.0000, 5.2710]],
  "species": ["Zr", "Ag", "Pd", "F", "F"],
  "fractional_positions": [[0.0000, 0.0000, 0.0000], [0.5000, 0.5000, 0.0000], [0.0000, 0.0000, 0.5000], [0.0000, 0.5000, 0.5000], [0.5000, 0.0000, 0.5000]],
  "formation_energy_uncorrected_ev_per_fu": -1.9,
  "total_energy_ry_per_atom": -0.327
}